Computed, not measured: a geometry-optimized KTl3Fe2F9 structure at the GGA+U level of DFT.

Output
Energy   -69.8 eV per cell
Space-group type   P-3m1 (164)

a b c (Å): 6.131 6.131 7.986
angles (deg): 90.00 90.00 120.00
Fractional coordinates of all 15 atoms:
Tl  0.333  0.667  0.692
Fe  0.667  0.333  0.850
F  0.822  0.643  0.717
Fe  0.333  0.667  0.150
F  0.357  0.178  0.717
F  0.178  0.357  0.283
F  0.500  0.000  0.000
F  0.178  0.822  0.283
Tl  0.000  0.000  0.000
F  0.643  0.822  0.283
Tl  0.667  0.333  0.308
F  0.500  0.500  0.000
F  0.000  0.500  0.000
F  0.822  0.178  0.717
K  0.000  0.000  0.500